[1]
Density functional theory data (GGA-PBE) for a relaxed MgZn2AsIr crystal.

Lattice parameters (Å, degrees): 4.7058 4.7058 4.6431 90.00 90.00 90.00
With the nearest neighbours (Å) after each atom.
Space group P4/mmm (No. 123)
Unique sites:
Mg1 0.0000 0.0000 0.0000 x1  2 Ir 2.32, 4 Zn 2.35
Zn1 0.0000 0.5000 0.0000 x2  2 Mg 2.35
As1 0.5000 0.5000 0.5000 x1  8 Zn 3.31, 4 Ir 3.33
Ir1 0.0000 0.0000 0.5000 x1  2 Mg 2.32

- Formation energy: 1.06 eV per atom
- Distance to the lowest polymorph of the same formula: 685 meV/atom
- N(E_F): 0.471 states/eV/atom
- Theoretical density: 6.82 g/cm³
- Uncorrected energy: -2.47 eV/atom

***

[2]
Density functional theory data (GGA-PBE) for a relaxed ZrNpScGa crystal.

Lattice parameters (Å, degrees): 6.9765 6.9765 6.9765 90.00 90.00 90.00
With the nearest neighbours (Å) after each atom.
Space group F-43m (No. 216)
Unique sites:
Zr1 0.0000 0.0000 0.0000 x4  4 Np 3.02, 4 Ga 3.02
Np1 0.2500 0.2500 0.7500 x4  4 Zr 3.02, 4 Sc 3.02
Sc1 0.0000 0.0000 0.5000 x4  4 Np 3.02, 4 Ga 3.02
Ga1 0.2500 0.2500 0.2500 x4  4 Zr 3.02, 4 Sc 3.02

- Formation energy: 0.13 eV per atom
- N(E_F): 3.235 states/eV/atom
- Theoretical density: 8.66 g/cm³
- Uncorrected energy: -7.58 eV/atom

***

[3]
Density functional theory data (GGA-PBE) for a relaxed SbAsPtPb2 crystal.

Lattice parameters (Å, degrees): 5.8611 5.8611 5.0980 90.00 90.00 90.00
With the nearest neighbours (Å) after each atom.
Space group P4/mmm (No. 123)
Unique sites:
Sb1 0.0000 0.0000 0.0000 x1  2 As 2.55
As1 0.0000 0.0000 0.5000 x1  2 Sb 2.55
Pt1 0.5000 0.5000 0.5000 x1  8 Pb 3.88, 4 As 4.14
Pb1 0.0000 0.5000 0.0000 x2  2 Sb 2.93

- N(E_F): 1.177 states/eV/atom
- Theoretical density: 7.64 g/cm³
- Raw formation energy: 1.068 eV per atom
- Uncorrected energy: -3.38 eV/atom

***

[4]
Density functional theory data (GGA-PBE) for a relaxed NaMg2FeAu crystal.

Lattice parameters (Å, degrees): 4.9578 4.9578 4.5948 90.00 90.00 90.00
With the nearest neighbours (Å) after each atom.
Space group P4/mmm (No. 123)
Unique sites:
Na1 0.0000 0.0000 0.0000 x1  2 Fe 2.30, 4 Mg 2.48
Mg1 0.0000 0.5000 0.0000 x2  2 Na 2.48
Fe1 0.0000 0.0000 0.5000 x1  2 Na 2.30
Au1 0.5000 0.5000 0.5000 x1  8 Mg 3.38, 4 Fe 3.51

- Formation energy: 1.12 eV per atom
- Distance to the lowest polymorph of the same formula: 555 meV/atom
- N(E_F): 0.682 states/eV/atom
- Theoretical density: 4.77 g/cm³
- Uncorrected energy: -2.13 eV/atom